! Sc5NiTe2 (PBE-GGA, relaxed); values from VASP
! **ΔE_f (raw)**: -678 meV per atom
! **SG**: Pbam, No. 55
&SYSTEM
  ibrav = 0, nat = 16, ntyp = 3
/
ATOMIC_SPECIES
Sc 44.96 Sc.upf
Ni 58.69 Ni.upf
Te 127.60 Te.upf
CELL_PARAMETERS angstrom
7.354 0.000 0.000
0.000 11.519 0.000
0.000 0.000 4.174
ATOMIC_POSITIONS crystal
Sc 0.000 0.000 0.000
Sc 0.141 0.304 0.000
Sc 0.179 0.567 0.500
Sc 0.321 0.067 0.500
Sc 0.359 0.804 0.000
Sc 0.500 0.500 0.000
Sc 0.641 0.196 0.000
Sc 0.679 0.933 0.500
Sc 0.821 0.433 0.500
Sc 0.859 0.696 0.000
Ni 0.000 0.500 0.000
Ni 0.500 0.000 0.000
Te 0.065 0.827 0.500
Te 0.435 0.327 0.500
Te 0.565 0.673 0.500
Te 0.935 0.173 0.500

***

! RbBiPb2 (PBE-GGA, relaxed); values from VASP
! **SG**: P4/nmm, No. 129
! **Energy of formation**: -0.04 eV per atom
&SYSTEM
  ibrav = 0, nat = 8, ntyp = 3
/
ATOMIC_SPECIES
Rb 85.47 Rb.upf
Bi 208.98 Bi.upf
Pb 207.20 Pb.upf
CELL_PARAMETERS angstrom
5.025 0.000 0.000
0.000 5.025 0.000
0.000 0.000 12.400
ATOMIC_POSITIONS crystal
Rb 0.250 0.250 0.232
Rb 0.750 0.750 0.768
Bi 0.250 0.250 0.683
Bi 0.750 0.750 0.317
Pb 0.250 0.250 0.947
Pb 0.250 0.750 0.500
Pb 0.750 0.250 0.500
Pb 0.750 0.750 0.053

***

! Pm2Nd3Tm (PBE-GGA, relaxed); values from VASP
! **Offset from the most stable computed form**: 243 kJ/mol of formula units
! **SG**: Ibam, No. 72
! **Energy of formation**: 0.56 eV per atom
&SYSTEM
  ibrav = 0, nat = 12, ntyp = 3
/
ATOMIC_SPECIES
Pm 145.00 Pm.upf
Nd 144.24 Nd.upf
Tm 168.93 Tm.upf
CELL_PARAMETERS angstrom
-5.658 5.988 3.493
5.658 -5.988 3.493
5.658 5.988 -3.493
ATOMIC_POSITIONS crystal
Pm 0.196 0.245 0.442
Pm 0.304 0.745 0.049
Pm 0.696 0.255 0.951
Pm 0.804 0.755 0.558
Nd 0.015 0.750 0.265
Nd 0.250 0.250 0.000
Nd 0.485 0.750 0.735
Nd 0.515 0.250 0.265
Nd 0.750 0.750 0.000
Nd 0.985 0.250 0.735
Tm 0.000 0.500 0.500
Tm 0.500 0.000 0.500

***

Number 1: electronic total energy -98.3 eV for the cell shown. Number 2: electronic total energy -24.8 eV for the cell shown. Number 3: electronic total energy -49.9 eV for the cell shown.